(1)
TaSiPt2Br: PBEsol geometry, SCAN.

Unit cell a=4.816 b=4.816 c=5.083 alpha=90.00 beta=90.00 gamma=90.00
Space group P4/mmm (No. 123)
Asymmetric unit:
Ta  0.000  0.000  0.000
Si  0.000  0.000  0.500
Pt  0.000  0.500  0.000
Br  0.500  0.500  0.500

Results
Calculated density (kg/m³): 9564
Uncorrected energy (eV/atom): -46.21
M_tot (μB/f.u.): 0.0
ΔE_f (raw) (eV/atom): 1.077

=====

(2)
SiPtW2Br: PBEsol geometry, SCAN.

Unit cell a=4.526 b=4.526 c=4.582 alpha=90.00 beta=90.00 gamma=90.00
Space group P4/mmm (No. 123)
Asymmetric unit:
Si  0.000  0.000  0.000
Pt  0.500  0.500  0.000
W  0.000  0.500  0.500
Br  0.000  0.000  0.500

Results
Calculated density (kg/m³): 11865
Uncorrected energy (eV/atom): -45.31
M_tot (μB/f.u.): 1.7
ΔE_f (raw) (eV/atom): 2.503

=====

(3)
Zr2SiPtBr: PBEsol geometry, SCAN.

Unit cell a=5.035 b=5.035 c=4.346 alpha=90.00 beta=90.00 gamma=90.00
Space group P4/mmm (No. 123)
Asymmetric unit:
Zr  0.000  0.500  0.000
Si  0.000  0.000  0.000
Pt  0.000  0.000  0.500
Br  0.500  0.500  0.500

Results
Calculated density (kg/m³): 7319
Uncorrected energy (eV/atom): -32.28
M_tot (μB/f.u.): 0.0
ΔE_f (raw) (eV/atom): -0.063